# AcGaGeO

A geometry-optimized AcGaGeO structure (PBE, the Alexandria database).

Lattice parameters (Å, degrees): 4.2357 4.2357 9.5794 90.00 90.00 90.00
Closest atoms and distances in Å follow each position.
Sites, in units of the cell vectors:
Ac: 0.2500 0.2500 0.1338  4 O 2.48
Ac: 0.7500 0.7500 0.8662  4 O 2.48
Ga: 0.2500 0.7500 0.5000  4 Ge 2.66
Ga: 0.7500 0.2500 0.5000  4 Ge 2.66
Ge: 0.2500 0.2500 0.6679  4 Ga 2.66
Ge: 0.7500 0.7500 0.3321  4 Ga 2.66
O: 0.2500 0.7500 0.0000  4 Ac 2.48
O: 0.7500 0.2500 0.0000  4 Ac 2.48

Calculated values
Uncorrected formation energy = -6.59 eV/f.u.
Spin magnetization = 0.0 μB/cell
Crystal system = tetragonal

***

# AcGaGe2O8

A geometry-optimized AcGaGe2O8 structure (PBE, the Alexandria database).

Lattice parameters (Å, degrees): 5.3397 5.3397 6.9651 90.00 90.00 120.00
Closest atoms and distances in Å follow each position.
Sites, in units of the cell vectors:
Ac: 0.0000 0.0000 0.0000  6 O 2.68
Ga: 0.0000 0.0000 0.5000  6 O 1.97
Ge: 0.3333 0.6667 0.7281  4 O 1.75-1.82
Ge: 0.6667 0.3333 0.2719  4 O 1.75-1.82
O: 0.0632 0.3088 0.6825  1 Ge 1.75
O: 0.2456 0.9368 0.6825  1 Ge 1.75
O: 0.3088 0.2456 0.3175  1 Ge 1.75
O: 0.3333 0.6667 0.9889  1 Ge 1.82
O: 0.6667 0.3333 0.0111  1 Ge 1.82
O: 0.6912 0.7544 0.6825  1 Ge 1.75
O: 0.7544 0.0632 0.3175  1 Ge 1.75
O: 0.9368 0.6912 0.3175  1 Ge 1.75

Calculated values
Uncorrected formation energy = -20.30 eV/f.u.
Spin magnetization = 2.1 μB/cell
Crystal system = trigonal